No. 1
Y3Ta4: relaxed, PBE. Values from VASP.

- DOS(E_F) (states/eV per cell) = 12.38
- distance to the lowest polymorph of the same formula (meV/atom) = 754
- total DFT energy (no corrections) (eV/atom) = -8.58
- total moment (Bohr magnetons per cell) = 0.00

Quantum ESPRESSO input file:
```
&SYSTEM
  ibrav = 0, nat = 7, ntyp = 2
/
ATOMIC_SPECIES
Y 88.91 Y.upf
Ta 180.95 Ta.upf
CELL_PARAMETERS angstrom
5.907 0.000 0.000
-2.954 5.116 0.000
0.000 0.000 5.285
ATOMIC_POSITIONS angstrom
Y -1.477 2.558 0.000
Y 2.954 0.000 0.000
Y 1.477 2.558 0.000
Ta 0.000 0.000 1.344
Ta 0.000 0.000 3.941
Ta 0.000 3.411 2.642
Ta 2.954 1.705 2.642
```

***

No. 2
YTa: relaxed, PBE. Values from VASP.

- DOS(E_F) (states/eV per cell) = 10.52
- distance to the lowest polymorph of the same formula (meV/atom) = 903
- total DFT energy (no corrections) (eV/atom) = -8.07
- total moment (Bohr magnetons per cell) = 0.00

Quantum ESPRESSO input file:
```
&SYSTEM
  ibrav = 0, nat = 8, ntyp = 2
/
ATOMIC_SPECIES
Y 88.91 Y.upf
Ta 180.95 Ta.upf
CELL_PARAMETERS angstrom
5.912 0.000 0.000
0.000 5.912 0.000
0.000 0.000 6.067
ATOMIC_POSITIONS angstrom
Y 1.075 1.075 0.000
Y 1.881 4.031 3.034
Y 4.031 1.881 3.034
Y 4.837 4.837 0.000
Ta 0.916 0.916 3.034
Ta 2.040 3.872 0.000
Ta 3.872 2.040 0.000
Ta 4.995 4.995 3.034
```

***

No. 3
YTa3: relaxed, PBE. Values from VASP.

- DOS(E_F) (states/eV per cell) = 4.72
- distance to the lowest polymorph of the same formula (meV/atom) = 226
- total DFT energy (no corrections) (eV/atom) = -10.04
- total moment (Bohr magnetons per cell) = 0.00

Quantum ESPRESSO input file:
```
&SYSTEM
  ibrav = 0, nat = 4, ntyp = 2
/
ATOMIC_SPECIES
Y 88.91 Y.upf
Ta 180.95 Ta.upf
CELL_PARAMETERS angstrom
2.968 -4.911 0.000
2.968 4.911 0.000
0.000 0.000 2.813
ATOMIC_POSITIONS angstrom
Y 0.000 0.000 0.000
Ta 1.484 2.456 1.406
Ta 1.484 -2.456 1.406
Ta 2.968 0.000 0.000
```

***

No. 4
YTa3: relaxed, PBE. Values from VASP.

- DOS(E_F) (states/eV per cell) = 6.48
- distance to the lowest polymorph of the same formula (meV/atom) = 47
- total DFT energy (no corrections) (eV/atom) = -10.21
- total moment (Bohr magnetons per cell) = 0.00

Quantum ESPRESSO input file:
```
&SYSTEM
  ibrav = 0, nat = 4, ntyp = 2
/
ATOMIC_SPECIES
Y 88.91 Y.upf
Ta 180.95 Ta.upf
CELL_PARAMETERS angstrom
1.703 -2.435 0.000
1.703 2.435 0.000
0.000 0.000 9.948
ATOMIC_POSITIONS angstrom
Y 0.000 0.000 0.000
Ta 0.000 0.000 4.974
Ta 1.703 0.000 2.755
Ta 1.703 0.000 7.192
```

***

No. 5
YTa: relaxed, PBE. Values from VASP.

- DOS(E_F) (states/eV per cell) = 6.91
- distance to the lowest polymorph of the same formula (meV/atom) = 167
- total DFT energy (no corrections) (eV/atom) = -8.81
- total moment (Bohr magnetons per cell) = 0.00

Quantum ESPRESSO input file:
```
&SYSTEM
  ibrav = 0, nat = 4, ntyp = 2
/
ATOMIC_SPECIES
Y 88.91 Y.upf
Ta 180.95 Ta.upf
CELL_PARAMETERS angstrom
1.827 -2.560 0.000
1.827 2.560 0.000
0.000 0.000 10.322
ATOMIC_POSITIONS angstrom
Y 1.827 1.280 8.681
Y 1.827 -1.280 1.642
Ta 1.827 1.280 4.169
Ta 1.827 -1.280 6.154
```

***

No. 6
YTa3: relaxed, PBE. Values from VASP.

- DOS(E_F) (states/eV per cell) = 4.20
- distance to the lowest polymorph of the same formula (meV/atom) = 0
- total DFT energy (no corrections) (eV/atom) = -10.26
- total moment (Bohr magnetons per cell) = 0.00

Quantum ESPRESSO input file:
```
&SYSTEM
  ibrav = 0, nat = 4, ntyp = 2
/
ATOMIC_SPECIES
Y 88.91 Y.upf
Ta 180.95 Ta.upf
CELL_PARAMETERS angstrom
3.423 0.000 0.000
0.000 3.423 0.000
0.000 0.000 7.254
ATOMIC_POSITIONS angstrom
Y 0.000 0.000 0.000
Ta 0.000 0.000 3.627
Ta 1.711 1.711 2.168
Ta 1.711 1.711 5.086
```

***

No. 7
YTa: relaxed, PBE. Values from VASP.

- DOS(E_F) (states/eV per cell) = 8.32
- distance to the lowest polymorph of the same formula (meV/atom) = 251
- total DFT energy (no corrections) (eV/atom) = -8.73
- total moment (Bohr magnetons per cell) = 0.00

Quantum ESPRESSO input file:
```
&SYSTEM
  ibrav = 0, nat = 6, ntyp = 2
/
ATOMIC_SPECIES
Y 88.91 Y.upf
Ta 180.95 Ta.upf
CELL_PARAMETERS angstrom
-1.797 6.695 3.257
1.797 -6.695 3.257
1.797 6.695 -3.257
ATOMIC_POSITIONS angstrom
Y 0.000 0.000 0.000
Y 1.797 -2.665 1.637
Y 1.797 2.665 1.637
Ta 0.000 0.000 3.160
Ta 0.000 5.258 1.286
Ta 0.000 8.132 1.286
```

***

No. 8
Y2Ta: relaxed, PBE. Values from VASP.

- DOS(E_F) (states/eV per cell) = 5.50
- distance to the lowest polymorph of the same formula (meV/atom) = 241
- total DFT energy (no corrections) (eV/atom) = -7.81
- total moment (Bohr magnetons per cell) = 0.00

Quantum ESPRESSO input file:
```
&SYSTEM
  ibrav = 0, nat = 3, ntyp = 2
/
ATOMIC_SPECIES
Y 88.91 Y.upf
Ta 180.95 Ta.upf
CELL_PARAMETERS angstrom
5.275 0.000 0.000
-2.638 4.569 0.000
0.000 0.000 3.120
ATOMIC_POSITIONS angstrom
Y 0.000 3.046 0.000
Y 2.638 1.523 0.000
Ta 0.000 0.000 1.560
```

***

No. 9
YTa: relaxed, PBE. Values from VASP.

- DOS(E_F) (states/eV per cell) = 4.18
- distance to the lowest polymorph of the same formula (meV/atom) = 240
- total DFT energy (no corrections) (eV/atom) = -8.74
- total moment (Bohr magnetons per cell) = 0.00

Quantum ESPRESSO input file:
```
&SYSTEM
  ibrav = 0, nat = 4, ntyp = 2
/
ATOMIC_SPECIES
Y 88.91 Y.upf
Ta 180.95 Ta.upf
CELL_PARAMETERS angstrom
4.892 -1.556 0.000
4.892 1.556 0.000
-0.444 0.000 6.385
ATOMIC_POSITIONS angstrom
Y 0.998 0.000 2.174
Y 8.342 0.000 4.211
Ta 3.579 0.000 0.554
Ta 5.760 0.000 5.831
```

***

No. 10
YTa3: relaxed, PBE. Values from VASP.

- DOS(E_F) (states/eV per cell) = 8.24
- distance to the lowest polymorph of the same formula (meV/atom) = 3255
- total DFT energy (no corrections) (eV/atom) = -7.01
- total moment (Bohr magnetons per cell) = 1.40

Quantum ESPRESSO input file:
```
&SYSTEM
  ibrav = 0, nat = 4, ntyp = 2
/
ATOMIC_SPECIES
Y 88.91 Y.upf
Ta 180.95 Ta.upf
CELL_PARAMETERS angstrom
5.027 0.000 0.000
0.000 5.027 0.000
0.000 0.000 5.027
ATOMIC_POSITIONS angstrom
Y 0.000 0.000 0.000
Ta 0.000 0.000 2.513
Ta 0.000 2.513 0.000
Ta 2.513 0.000 0.000
```

***

No. 11
YTa: relaxed, PBE. Values from VASP.

- DOS(E_F) (states/eV per cell) = 7.44
- distance to the lowest polymorph of the same formula (meV/atom) = 167
- total DFT energy (no corrections) (eV/atom) = -8.81
- total moment (Bohr magnetons per cell) = 0.00

Quantum ESPRESSO input file:
```
&SYSTEM
  ibrav = 0, nat = 8, ntyp = 2
/
ATOMIC_SPECIES
Y 88.91 Y.upf
Ta 180.95 Ta.upf
CELL_PARAMETERS angstrom
4.723 0.000 0.000
-2.362 4.090 0.000
0.000 0.000 10.670
ATOMIC_POSITIONS angstrom
Y 0.000 2.727 0.972
Y 0.000 2.727 4.363
Y 2.362 1.363 6.307
Y 2.362 1.363 9.698
Ta 0.000 0.000 2.667
Ta 0.000 0.000 8.002
Ta 0.000 2.727 8.002
Ta 2.362 1.363 2.667
```

***

No. 12
Y5Ta: relaxed, PBE. Values from VASP.

- DOS(E_F) (states/eV per cell) = 9.49
- distance to the lowest polymorph of the same formula (meV/atom) = 14
- total DFT energy (no corrections) (eV/atom) = -7.15
- total moment (Bohr magnetons per cell) = 0.00

Quantum ESPRESSO input file:
```
&SYSTEM
  ibrav = 0, nat = 6, ntyp = 2
/
ATOMIC_SPECIES
Y 88.91 Y.upf
Ta 180.95 Ta.upf
CELL_PARAMETERS angstrom
3.386 0.000 0.000
0.000 3.386 0.000
0.000 0.000 15.275
ATOMIC_POSITIONS angstrom
Y 0.000 0.000 0.000
Y 0.000 0.000 5.520
Y 0.000 0.000 9.755
Y 1.693 1.693 2.651
Y 1.693 1.693 12.624
Ta 1.693 1.693 7.637
```

***

No. 13
Y2Ta3: relaxed, PBE. Values from VASP.

- DOS(E_F) (states/eV per cell) = 5.68
- distance to the lowest polymorph of the same formula (meV/atom) = 198
- total DFT energy (no corrections) (eV/atom) = -9.30
- total moment (Bohr magnetons per cell) = 0.00

Quantum ESPRESSO input file:
```
&SYSTEM
  ibrav = 0, nat = 5, ntyp = 2
/
ATOMIC_SPECIES
Y 88.91 Y.upf
Ta 180.95 Ta.upf
CELL_PARAMETERS angstrom
1.635 0.944 12.528
-1.635 0.944 12.528
0.000 -1.888 12.528
ATOMIC_POSITIONS angstrom
Y 0.000 0.000 7.911
Y 0.000 0.000 29.672
Ta 0.000 0.000 0.000
Ta 0.000 0.000 14.583
Ta 0.000 0.000 23.001
```